Material: Be2CdOs
Method: DFT, PBE-GGA
State: relaxed

a b c (Å): 2.9360 4.6176 8.0340
angles (deg): 90.00 90.00 90.00
Last column: nearest neighbours and their distance in Å.
Space group Cmmm (No. 65)
Symmetry-distinct sites (fractional):
Be1 0.0000 0.0000 0.2170 x4  2 Os 2.28
Cd1 0.0000 0.5000 0.5000 x2  4 Be 2.71, 6 Cd 2.74-2.94
Os1 0.0000 0.5000 0.0000 x2  4 Be 2.28

**Calculated formation energy**: 1.28 eV per formula unit
**Crystal system**: orthorhombic

Material: CsTmGe2Cl8
Method: DFT, PBE-GGA
State: relaxed

a b c (Å): 6.3561 7.5112 9.3622
angles (deg): 85.28 83.98 72.68
Last column: nearest neighbours and their distance in Å.
Space group P-1 (No. 2)
Symmetry-distinct sites (fractional):
Cs1 0.0000 0.0000 0.0000 x1  8 Cl 3.66-3.95
Tm1 0.0000 0.0000 0.5000 x1  6 Cl 2.57-2.67
Ge1 0.4005 0.3393 0.6765 x2  2 Cl 2.27-2.52
Cl1 0.0424 0.2687 0.6550 x2  1 Ge 2.52, 1 Tm 2.67
Cl2 0.2238 0.7483 0.6727 x2  1 Tm 2.57
Cl3 0.3503 0.9999 0.3250 x2  1 Ge 2.57, 1 Tm 2.62
Cl4 0.3624 0.3228 0.9205 x2  1 Ge 2.27

**Crystal system**: triclinic
**E_tot**: -3.943 eV per atom

Material: InHg2HAu
Method: DFT, PBE-GGA
State: relaxed

a b c (Å): 5.5028 5.5028 3.5097
angles (deg): 90.00 90.00 90.00
Last column: nearest neighbours and their distance in Å.
Space group P4/mmm (No. 123)
Symmetry-distinct sites (fractional):
In1 0.0000 0.0000 0.0000 x1  8 Hg 3.26, 2 In 3.51
Hg1 0.0000 0.5000 0.5000 x2  2 H 2.75
H1 0.5000 0.5000 0.5000 x1  2 Au 1.75
Au1 0.5000 0.5000 0.0000 x1  2 H 1.75

**Relative energy among the computed polymorphs**: 0.31 eV/f.u.
**Crystal system**: tetragonal

Material: CsSmZnCl6
Method: DFT, PBE-GGA
State: relaxed

a b c (Å): 6.8663 6.8663 7.7323
angles (deg): 90.00 90.00 120.00
Last column: nearest neighbours and their distance in Å.
Space group P312 (No. 149)
Symmetry-distinct sites (fractional):
Cs1 0.0000 0.0000 0.0000 x1  6 Cl 3.53
Sm1 0.6667 0.3333 0.5000 x1  6 Cl 2.72
Zn1 0.3333 0.6667 0.5000 x1  6 Cl 2.51
Cl1 0.0229 0.3916 0.6929 x6  1 Zn 2.51, 1 Sm 2.72

**Crystal system**: trigonal
**E_tot**: -3.827 eV per atom

Material: Ac2AlP2N6
Method: DFT, PBE-GGA
State: relaxed

a b c (Å): 5.5645 5.5645 15.9122
angles (deg): 90.00 90.00 120.00
Last column: nearest neighbours and their distance in Å.
Space group R-3m (No. 166, hexagonal axes)
Symmetry-distinct sites (fractional):
Ac1 0.0000 0.0000 0.2288 x6  9 N 2.81-2.90
Al1 0.0000 0.0000 0.0000 x3  6 N 2.04
P1 0.0000 0.0000 0.4276 x6  3 N 1.61
N1 0.0034 0.5017 0.2555 x18  1 P 1.61

**Crystal system**: trigonal
**E_tot**: -7.579 eV per atom

Material: VSi2Ni
Method: DFT, PBE-GGA
State: relaxed

a b c (Å): 6.3861 6.3861 5.3238
angles (deg): 90.00 90.00 90.00
Last column: nearest neighbours and their distance in Å.
Space group I-42d (No. 122)
Symmetry-distinct sites (fractional):
V1 0.0000 0.0000 0.0000 x4  4 Si 2.50, 2 Ni 2.66
Si1 0.2174 0.2500 0.6250 x8  2 Ni 2.22
Ni1 0.0000 0.0000 0.5000 x4  4 Si 2.22

**Crystal system**: tetragonal
**E_tot**: -6.424 eV per atom

Material: CrCdAs2
Method: DFT, PBE-GGA
State: relaxed

a b c (Å): 3.9074 3.9074 5.9868
angles (deg): 90.00 90.00 120.00
Last column: nearest neighbours and their distance in Å.
Space group P-3m1 (No. 164)
Symmetry-distinct sites (fractional):
Cr1 0.0000 0.0000 0.0000 x1  6 As 2.56
Cd1 0.0000 0.0000 0.5000 x1  6 As 2.88, 2 Cr 2.99
As1 0.3333 0.6667 0.2014 x2  3 Cr 2.56

**Calculated formation energy**: -0.17 eV per formula unit
**Crystal system**: trigonal

Material: K2LiCo
Method: DFT, PBE-GGA
State: relaxed

a b c (Å): 4.8287 4.8287 23.4808
angles (deg): 90.00 90.00 90.00
Last column: nearest neighbours and their distance in Å.
Space group I-42d (No. 122)
Symmetry-distinct sites (fractional):
K1 0.2386 0.2500 0.1250 x8  4 K 3.34-3.49, 2 Co 3.38, 2 Li 3.42
Li1 0.0000 0.0000 0.5000 x4  4 Co 3.41, 4 K 3.42
Co1 0.0000 0.0000 0.0000 x4  4 K 3.38, 4 Li 3.41

**Calculated formation energy**: 3.92 eV per formula unit
**Relative energy among the computed polymorphs**: 1.40 eV/f.u.
**Crystal system**: tetragonal

Per-record spin magnetization, μB/f.u.: 0.00 0.00 0.00 0.00 0.00 0.00 2.62 1.47